[1]
First-principles (PBE-GGA) data for an optimized crystal structure of PrEr5Tm3, as listed in Alexandria.

Summary:
VASP energy = -76.222 eV per cell
ΔE_f = 0.322 eV/atom
E above lowest polymorph = 0 meV per atom
Symmetry = C2/c, No. 15
Volume = 32.72 A^3/atom

Unit cell a=9.638 b=9.638 c=11.165 alpha=111.22 beta=111.22 gamma=37.93
Sites, in units of the cell vectors:
Pr1 0.139 0.861 0.750
Pr2 0.861 0.139 0.250
Er1 0.008 0.651 0.130
Er2 0.119 0.542 0.791
Er3 0.349 0.992 0.370
Er4 0.391 0.609 0.250
Er5 0.458 0.881 0.709
Er6 0.542 0.119 0.291
Er7 0.609 0.391 0.750
Er8 0.651 0.008 0.630
Er9 0.881 0.458 0.209
Er10 0.992 0.349 0.870
Tm1 0.000 0.000 0.000
Tm2 0.000 0.000 0.500
Tm3 0.144 0.531 0.486
Tm4 0.469 0.856 0.014
Tm5 0.531 0.144 0.986
Tm6 0.856 0.469 0.514


[2]
First-principles (PBE-GGA) data for an optimized crystal structure of Pr2Ni2Pd, as listed in Alexandria.

Summary:
VASP energy = -57.328 eV per cell
ΔE_f = -0.470 eV/atom
E above lowest polymorph = 0 meV per atom
Symmetry = Cmmm, No. 65
Volume = 20.72 A^3/atom

Unit cell a=3.905 b=13.870 c=3.825 alpha=90.00 beta=90.00 gamma=90.00
Sites, in units of the cell vectors:
Pr1 0.000 0.127 0.000
Pr2 0.000 0.873 0.000
Pr3 0.500 0.373 0.000
Pr4 0.500 0.627 0.000
Ni1 0.000 0.301 0.500
Ni2 0.000 0.699 0.500
Ni3 0.500 0.199 0.500
Ni4 0.500 0.801 0.500
Pd1 0.000 0.500 0.500
Pd2 0.500 0.000 0.500


[3]
First-principles (PBE-GGA) data for an optimized crystal structure of YSiMo, as listed in Alexandria.

Summary:
VASP energy = -77.193 eV per cell
Raw formation energy = 1.140 eV/atom
Symmetry = F-43m, No. 216
Volume = 24.76 A^3/atom

Unit cell a=6.673 b=6.673 c=6.673 alpha=90.00 beta=90.00 gamma=90.00
Sites, in units of the cell vectors:
Y1 0.000 0.000 0.000
Y2 0.000 0.500 0.500
Y3 0.500 0.000 0.500
Y4 0.500 0.500 0.000
Si1 0.250 0.250 0.750
Si2 0.250 0.750 0.250
Si3 0.750 0.250 0.250
Si4 0.750 0.750 0.750
Mo1 0.250 0.250 0.250
Mo2 0.250 0.750 0.750
Mo3 0.750 0.250 0.750
Mo4 0.750 0.750 0.250